(1)
Compound: Tm2HfIn
Source: Alexandria
Functional: PBE-GGA
Structure: optimized geometry

The structure in CIF format:
```
data_Tm2HfIn
_chemical_formula_sum 'Tm2 Hf1 In1'
_cell_length_a 3.400
_cell_length_b 3.400
_cell_length_c 8.914
_cell_angle_alpha 90.00
_cell_angle_beta 90.00
_cell_angle_gamma 90.00
_space_group_name_H-M_alt 'P 4/m m m'
_space_group_IT_number 123
_space_group_name_Hall '-P 4 2'
loop_
_atom_site_label
_atom_site_type_symbol
_atom_site_fract_x
_atom_site_fract_y
_atom_site_fract_z
Tm1 Tm 0.000 0.000 0.248
Hf1 Hf 0.500 0.500 0.500
In1 In 0.500 0.500 0.000
```

Results
The total magnetization comes out at 0.000 μB per formula unit. Its crystal system is tetragonal. The calculation puts the energy above the lowest structure with this stoichiometry at 0.000 eV/atom. The mass density is 10.2 Mg/m³. For the uncorrected energy, the calculation gives -5.59 eV per atom.

(2)
Compound: TmHfIn2
Source: Alexandria
Functional: PBE-GGA
Structure: optimized geometry

The structure in CIF format:
```
data_TmHfIn2
_chemical_formula_sum 'Tm3 Hf3 In6'
_cell_length_a 3.3782
_cell_length_b 3.3782
_cell_length_c 30.0425
_cell_angle_alpha 90.00
_cell_angle_beta 90.00
_cell_angle_gamma 120.00
_space_group_name_H-M_alt 'R -3 m'
_space_group_IT_number 166
_space_group_name_Hall '-R 3 2"'
loop_
_atom_site_label
_atom_site_type_symbol
_atom_site_fract_x
_atom_site_fract_y
_atom_site_fract_z
Tm1 Tm 0.0000 0.0000 0.0000
Hf1 Hf 0.0000 0.0000 0.5000
In1 In 0.0000 0.0000 0.2472
```

Results
The total magnetization comes out at 0.000 μB per formula unit. Its crystal system is trigonal. The calculation puts the energy above the lowest structure with this stoichiometry at 0.096 eV/atom. The mass density is 9.7 Mg/m³. For the uncorrected energy, the calculation gives -5.10 eV per atom.

(3)
Compound: Tm2HfIn
Source: Alexandria
Functional: PBE-GGA
Structure: optimized geometry

The structure in CIF format:
```
data_Tm2HfIn
_chemical_formula_sum 'Tm2 Hf1 In1'
_cell_length_a 4.639
_cell_length_b 4.639
_cell_length_c 4.640
_cell_angle_alpha 90.00
_cell_angle_beta 90.00
_cell_angle_gamma 90.00
_space_group_name_H-M_alt 'P 4/m m m'
_space_group_IT_number 123
_space_group_name_Hall '-P 4 2'
loop_
_atom_site_label
_atom_site_type_symbol
_atom_site_fract_x
_atom_site_fract_y
_atom_site_fract_z
Tm1 Tm 0.000 0.500 0.000
Hf1 Hf 0.000 0.000 0.500
In1 In 0.500 0.500 0.500
```

Results
The total magnetization comes out at 0.000 μB per formula unit. Its crystal system is tetragonal. The calculation puts the energy above the lowest structure with this stoichiometry at 0.038 eV/atom. The mass density is 10.5 Mg/m³. For the uncorrected energy, the calculation gives -5.55 eV per atom.

(4)
Compound: TmHf2In
Source: Alexandria
Functional: PBE-GGA
Structure: optimized geometry

The structure in CIF format:
```
data_TmHf2In
_chemical_formula_sum 'Tm4 Hf8 In4'
_cell_length_a 4.293
_cell_length_b 21.046
_cell_length_c 4.467
_cell_angle_alpha 90.00
_cell_angle_beta 90.00
_cell_angle_gamma 90.00
_space_group_name_H-M_alt 'C m c m'
_space_group_IT_number 63
_space_group_name_Hall '-C 2c 2'
loop_
_atom_site_label
_atom_site_type_symbol
_atom_site_fract_x
_atom_site_fract_y
_atom_site_fract_z
Tm1 Tm 0.000 0.190 0.250
Hf1 Hf 0.000 0.051 0.750
Hf2 Hf 0.000 0.449 0.750
In1 In 0.000 0.341 0.250
```

Results
The total magnetization comes out at 0.000 μB per formula unit. Its crystal system is orthorhombic. The calculation puts the energy above the lowest structure with this stoichiometry at 0.000 eV/atom. The mass density is 10.5 Mg/m³. For the uncorrected energy, the calculation gives -6.97 eV per atom.

(5)
Compound: Tm2HfIn
Source: Alexandria
Functional: PBE-GGA
Structure: optimized geometry

The structure in CIF format:
```
data_Tm2HfIn
_chemical_formula_sum 'Tm6 Hf3 In3'
_cell_length_a 3.4145
_cell_length_b 3.4145
_cell_length_c 31.3463
_cell_angle_alpha 90.00
_cell_angle_beta 90.00
_cell_angle_gamma 120.00
_space_group_name_H-M_alt 'R 3 m'
_space_group_IT_number 160
_space_group_name_Hall 'R 3 -2"'
loop_
_atom_site_label
_atom_site_type_symbol
_atom_site_fract_x
_atom_site_fract_y
_atom_site_fract_z
Tm1 Tm 0.0000 0.0000 0.0000
Tm2 Tm 0.0000 0.0000 0.1645
Hf1 Hf 0.0000 0.0000 0.7490
In1 In 0.0000 0.0000 0.5824
```

Results
The total magnetization comes out at 0.000 μB per formula unit. Its crystal system is trigonal. The calculation puts the energy above the lowest structure with this stoichiometry at 0.065 eV/atom. The mass density is 9.9 Mg/m³. For the uncorrected energy, the calculation gives -5.52 eV per atom.

(6)
Compound: Tm3Hf2In2
Source: Alexandria
Functional: PBE-GGA
Structure: optimized geometry

The structure in CIF format:
```
data_Tm3Hf2In2
_chemical_formula_sum 'Tm6 Hf4 In4'
_cell_length_a 4.866
_cell_length_b 22.547
_cell_length_c 3.256
_cell_angle_alpha 90.00
_cell_angle_beta 90.00
_cell_angle_gamma 90.00
_space_group_name_H-M_alt 'C m m m'
_space_group_IT_number 65
_space_group_name_Hall '-C 2 2'
loop_
_atom_site_label
_atom_site_type_symbol
_atom_site_fract_x
_atom_site_fract_y
_atom_site_fract_z
Tm1 Tm 0.000 0.000 0.000
Tm2 Tm 0.000 0.151 0.000
Hf1 Hf 0.000 0.277 0.500
In1 In 0.000 0.423 0.500
```

Results
The total magnetization comes out at 0.108 μB per formula unit. Its crystal system is orthorhombic. The mass density is 10.2 Mg/m³. For the uncorrected energy, the calculation gives -5.68 eV per atom.

(7)
Compound: TmHfIn6
Source: Alexandria
Functional: PBE-GGA
Structure: optimized geometry

The structure in CIF format:
```
data_TmHfIn6
_chemical_formula_sum 'Tm1 Hf1 In6'
_cell_length_a 4.558
_cell_length_b 4.558
_cell_length_c 9.098
_cell_angle_alpha 90.00
_cell_angle_beta 90.00
_cell_angle_gamma 90.00
_space_group_name_H-M_alt 'P 4/m m m'
_space_group_IT_number 123
_space_group_name_Hall '-P 4 2'
loop_
_atom_site_label
_atom_site_type_symbol
_atom_site_fract_x
_atom_site_fract_y
_atom_site_fract_z
Tm1 Tm 0.000 0.000 0.000
Hf1 Hf 0.000 0.000 0.500
In1 In 0.000 0.500 0.257
In2 In 0.500 0.500 0.000
In3 In 0.500 0.500 0.500
```

Results
The total magnetization comes out at 0.000 μB per formula unit. Its crystal system is tetragonal. The mass density is 9.1 Mg/m³. For the uncorrected energy, the calculation gives -4.06 eV per atom.

(8)
Compound: TmHf2In
Source: Alexandria
Functional: PBE-GGA
Structure: optimized geometry

The structure in CIF format:
```
data_TmHf2In
_chemical_formula_sum 'Tm3 Hf6 In3'
_cell_length_a 3.1340
_cell_length_b 3.1340
_cell_length_c 34.5986
_cell_angle_alpha 90.00
_cell_angle_beta 90.00
_cell_angle_gamma 120.00
_space_group_name_H-M_alt 'R -3 m'
_space_group_IT_number 166
_space_group_name_Hall '-R 3 2"'
loop_
_atom_site_label
_atom_site_type_symbol
_atom_site_fract_x
_atom_site_fract_y
_atom_site_fract_z
Tm1 Tm 0.0000 0.0000 0.0000
Hf1 Hf 0.0000 0.0000 0.0915
In1 In 0.0000 0.0000 0.5000
```

Results
The total magnetization comes out at 0.000 μB per formula unit. Its crystal system is trigonal. The calculation puts the energy above the lowest structure with this stoichiometry at 0.474 eV/atom. The mass density is 10.8 Mg/m³. For the uncorrected energy, the calculation gives -6.49 eV per atom.

(9)
Compound: Tm12HfIn3
Source: Alexandria
Functional: PBE-GGA
Structure: optimized geometry

The structure in CIF format:
```
data_Tm12HfIn3
_chemical_formula_sum 'Tm12 Hf1 In3'
_cell_length_a 4.771
_cell_length_b 4.771
_cell_length_c 19.287
_cell_angle_alpha 90.00
_cell_angle_beta 90.00
_cell_angle_gamma 90.00
_space_group_name_H-M_alt 'P 4/m m m'
_space_group_IT_number 123
_space_group_name_Hall '-P 4 2'
loop_
_atom_site_label
_atom_site_type_symbol
_atom_site_fract_x
_atom_site_fract_y
_atom_site_fract_z
Tm1 Tm 0.000 0.000 0.000
Tm2 Tm 0.000 0.000 0.248
Tm3 Tm 0.000 0.000 0.500
Tm4 Tm 0.000 0.500 0.124
Tm5 Tm 0.000 0.500 0.377
Hf1 Hf 0.500 0.500 0.500
In1 In 0.500 0.500 0.000
In2 In 0.500 0.500 0.247
```

Results
The total magnetization comes out at 0.000 μB per formula unit. Its crystal system is tetragonal. The mass density is 9.6 Mg/m³. For the uncorrected energy, the calculation gives -4.66 eV per atom.

(10)
Compound: TmHfIn2
Source: Alexandria
Functional: PBE-GGA
Structure: optimized geometry

The structure in CIF format:
```
data_TmHfIn2
_chemical_formula_sum 'Tm1 Hf1 In2'
_cell_length_a 3.767
_cell_length_b 3.767
_cell_length_c 6.675
_cell_angle_alpha 90.00
_cell_angle_beta 90.00
_cell_angle_gamma 90.00
_space_group_name_H-M_alt 'P 4/m m m'
_space_group_IT_number 123
_space_group_name_Hall '-P 4 2'
loop_
_atom_site_label
_atom_site_type_symbol
_atom_site_fract_x
_atom_site_fract_y
_atom_site_fract_z
Tm1 Tm 0.000 0.000 0.000
Hf1 Hf 0.000 0.000 0.500
In1 In 0.500 0.500 0.265
```

Results
The total magnetization comes out at 0.000 μB per formula unit. Its crystal system is tetragonal. The calculation puts the energy above the lowest structure with this stoichiometry at 0.038 eV/atom. The mass density is 10.1 Mg/m³. For the uncorrected energy, the calculation gives -5.16 eV per atom.

> The highest mass density belongs to which entry?

number 8